DFT (PBE-GGA) results for an optimized crystal structure of ScPaAsO6.

Computed properties:
- formation energy from raw total energies (kJ per mole of atoms) = -253.2
- magnetization (μB/cell) = 0.00
- space-group type = P4_2nm, No. 102

a b c (Å): 4.860 4.860 9.909
angles (deg): 90.00 90.00 90.00
Atoms (fractional coordinates):
Sc 0.500 0.500 0.831
Sc 0.000 0.000 0.331
Pa 0.500 0.500 0.165
Pa 0.000 0.000 0.665
As 0.500 0.500 0.495
As 0.000 0.000 0.995
O 0.205 0.795 0.496
O 0.795 0.205 0.496
O 0.295 0.295 0.996
O 0.705 0.705 0.996
O 0.186 0.814 0.161
O 0.814 0.186 0.161
O 0.314 0.314 0.661
O 0.686 0.686 0.661
O 0.811 0.189 0.848
O 0.189 0.811 0.848
O 0.689 0.689 0.348
O 0.311 0.311 0.348